Record 1
## TmLuPuSc (PBE-GGA)

Data for crystalline TmLuPuSc at its relaxed geometry.

Cell and atoms, written as extended XYZ:
```
4
Lattice="0.0000 3.8137 3.8137 3.8137 0.0000 3.8137 3.8137 3.8137 0.0000" Properties=species:S:1:pos:R:3 pbc="T T T"
Tm 0.0000 0.0000 0.0000
Lu 5.7206 5.7206 5.7206
Pu 3.8137 3.8137 3.8137
Sc 1.9069 1.9069 1.9069
```

Values from the calculation:
* total energy: -0.534 Ry/atom
* total moment: 5.978 μB/cell
* energy relative to the elements: 59 kJ/mol of formula units
* space-group type: F-43m, No. 216



Record 2
## LuPuZrSc (PBE-GGA)

Data for crystalline LuPuZrSc at its relaxed geometry.

Cell and atoms, written as extended XYZ:
```
4
Lattice="0.0000 3.7054 3.7054 3.7054 0.0000 3.7054 3.7054 3.7054 0.0000" Properties=species:S:1:pos:R:3 pbc="T T T"
Lu 0.0000 0.0000 0.0000
Pu 3.7054 3.7054 3.7054
Zr 1.8527 1.8527 1.8527
Sc 5.5581 5.5581 5.5581
```

Values from the calculation:
* total energy: -0.606 Ry/atom
* total moment: 6.738 μB/cell
* energy relative to the elements: 73 kJ/mol of formula units
* space-group type: F-43m, No. 216



Record 3
## Lu2PuSe (PBE-GGA)

Data for crystalline Lu2PuSe at its relaxed geometry.

Cell and atoms, written as extended XYZ:
```
4
Lattice="3.4866 0.0000 0.0000 0.0000 3.4866 0.0000 0.0000 0.0000 8.2379" Properties=species:S:1:pos:R:3 pbc="T T T"
Lu 0.0000 0.0000 1.7705
Lu 0.0000 0.0000 6.4674
Pu 1.7433 1.7433 4.1190
Se 1.7433 1.7433 0.0000
```

Values from the calculation:
* total energy: -0.536 Ry/atom
* total moment: 5.846 μB/cell
* ΔE_f (raw): -2.30 eV per formula unit
* space-group type: P4/mmm, No. 123